{"formula": "PtRhF", "functional": "PBE", "state": "relaxed", "density_kg_m3": 12405, "dos_ef_per_ev_fu": 3.8, "de_polymorph_ev_per_atom": 0.000, "cell": [[-1.851, -1.956, 0.152], [2.040, -0.207, -1.753], [3.698, -3.135, 4.674]], "species": ["F", "Rh", "Pt"], "frac_coords": [[0.000, 0.000, 0.703], [0.000, 0.000, 0.002], [0.000, 0.000, 0.371]]}